1:
A plane-wave DFT calculation with PBE was carried out for crystalline SmBMo at its relaxed geometry.

It has space group F-43m (No. 216), with a = 6.373 Å, b = 6.373 Å, c = 6.373 Å, α = 90.00°, β = 90.00° and γ = 90.00°. Symmetry generates all atoms from Sm at (0.000, 0.000, 0.000), B at (0.250, 0.250, 0.750) and Mo at (0.250, 0.250, 0.250).

***

2:
A plane-wave DFT calculation with PBE was carried out for crystalline SmBMo at its relaxed geometry.

It has space group F-43m (No. 216), with a = 5.962 Å, b = 5.962 Å, c = 5.962 Å, α = 90.00°, β = 90.00° and γ = 90.00°. Symmetry generates all atoms from Sm at (0.000, 0.000, 0.000), B at (0.250, 0.250, 0.750) and Mo at (0.000, 0.000, 0.500).

***

Energetically preferred structure: 2 | next structure: +137.7 kJ/mol of atoms

***

1:
A plane-wave DFT calculation with PBE was carried out for crystalline SnBMo at its relaxed geometry.

It has space group F-43m (No. 216), with a = 5.660 Å, b = 5.660 Å, c = 5.660 Å, α = 90.00°, β = 90.00° and γ = 90.00°. Symmetry generates all atoms from Sn at (0.000, 0.000, 0.000), B at (0.250, 0.250, 0.750) and Mo at (0.000, 0.000, 0.500).

***

2:
A plane-wave DFT calculation with PBE was carried out for crystalline SnBMo at its relaxed geometry.

It has space group F-43m (No. 216), with a = 6.007 Å, b = 6.007 Å, c = 6.007 Å, α = 90.00°, β = 90.00° and γ = 90.00°. Symmetry generates all atoms from Sn at (0.000, 0.000, 0.000), B at (0.000, 0.000, 0.500) and Mo at (0.250, 0.250, 0.750).

***

Energetically preferred structure: 1 | next structure: +55.9 kJ/mol of atoms

***

1:
A plane-wave DFT calculation with PBE was carried out for crystalline SrB4Mo at its relaxed geometry.

It has space group Immm (No. 71), with a = 3.149 Å, b = 5.575 Å, c = 7.377 Å, α = 90.00°, β = 90.00° and γ = 90.00°. Symmetry generates all atoms from Sr at (0.000, 0.000, 0.000), B at (0.000, 0.342, 0.240) and Mo at (0.000, 0.000, 0.500).

***

2:
A plane-wave DFT calculation with PBE was carried out for crystalline SrB4Mo at its relaxed geometry.

It has space group P6/mmm (No. 191), with a = 3.0919 Å, b = 3.0919 Å, c = 7.7963 Å, α = 90.00°, β = 90.00° and γ = 120.00°. Symmetry generates all atoms from Sr at (0.0000, 0.0000, 0.0000), B at (0.3333, 0.6667, 0.2893) and Mo at (0.0000, 0.0000, 0.5000).

***

Energetically preferred structure: 2 | next structure: +27.3 kJ/mol of atoms

***

1:
A plane-wave DFT calculation with PBE was carried out for crystalline TaB4Mo at its relaxed geometry.

It has space group P6/mmm (No. 191), with a = 3.0873 Å, b = 3.0873 Å, c = 6.5569 Å, α = 90.00°, β = 90.00° and γ = 120.00°. Symmetry generates all atoms from Ta at (0.0000, 0.0000, 0.0000), B at (0.3333, 0.6667, 0.2507) and Mo at (0.0000, 0.0000, 0.5000).

***

2:
A plane-wave DFT calculation with PBE was carried out for crystalline TaB4Mo at its relaxed geometry.

It has space group Immm (No. 71), with a = 3.074 Å, b = 5.327 Å, c = 6.611 Å, α = 90.00°, β = 90.00° and γ = 90.00°. Symmetry generates all atoms from Ta at (0.000, 0.000, 0.000), B at (0.000, 0.332, 0.251) and Mo at (0.000, 0.000, 0.500).

***

Energetically preferred structure: 2 | next structure: +0.8 kJ/mol of atoms

***

1:
A plane-wave DFT calculation with PBE was carried out for crystalline B2MoW at its relaxed geometry.

It has space group I-4m2 (No. 119), with a = 3.134 Å, b = 3.134 Å, c = 17.042 Å, α = 90.00°, β = 90.00° and γ = 90.00°. Symmetry generates all atoms from B at (0.000, 0.000, 0.156), B at (0.000, 0.500, 0.094), Mo at (0.000, 0.000, 0.304) and W at (0.000, 0.500, 0.553).

***

2:
A plane-wave DFT calculation with PBE was carried out for crystalline B2MoW at its relaxed geometry.

It has space group F-43m (No. 216), with a = 5.747 Å, b = 5.747 Å, c = 5.747 Å, α = 90.00°, β = 90.00° and γ = 90.00°. Symmetry generates all atoms from B at (0.000, 0.000, 0.000), B at (0.250, 0.250, 0.250), Mo at (0.250, 0.250, 0.750) and W at (0.000, 0.000, 0.500).

***

Energetically preferred structure: 1 | next structure: +154.6 kJ/mol of atoms

***

1:
A plane-wave DFT calculation with PBE was carried out for crystalline BMoW at its relaxed geometry.

It has space group Pnma (No. 62), with a = 6.165 Å, b = 3.121 Å, c = 7.858 Å, α = 90.00°, β = 90.00° and γ = 90.00°. Symmetry generates all atoms from B at (0.208, 0.250, 0.163), Mo at (0.001, 0.750, 0.320) and W at (0.162, 0.750, 0.946).

***

2:
A plane-wave DFT calculation with PBE was carried out for crystalline BMoW at its relaxed geometry.

It has space group F-43m (No. 216), with a = 5.772 Å, b = 5.772 Å, c = 5.772 Å, α = 90.00°, β = 90.00° and γ = 90.00°. Symmetry generates all atoms from B at (0.000, 0.000, 0.000), Mo at (0.000, 0.000, 0.500) and W at (0.250, 0.250, 0.250).

***

Energetically preferred structure: 1 | next structure: +152.3 kJ/mol of atoms